P.
{"formula": "POs2Br", "functional": "PBE", "state": "optimized geometry", "lattice": [[2.876, 0.000, 0.000], [0.000, 2.876, 0.000], [0.000, 0.000, 8.754]], "species": ["P", "Os", "Os", "Br"], "fractional_positions": [[0.000, 0.000, 0.000], [0.000, 0.000, 0.621], [0.500, 0.500, 0.824], [0.500, 0.500, 0.399]], "space_group": "P4mm, No. 99", "n_ef_per_ev_fu": 3.1}

***

Q.
{"formula": "POs2Br", "functional": "PBE", "state": "optimized geometry", "lattice": [[2.847, 0.000, 0.000], [0.000, 3.660, 0.000], [-1.380, 0.000, 7.578]], "species": ["P", "Os", "Os", "Br"], "fractional_positions": [[0.000, 0.000, 0.000], [0.425, 0.500, 0.847], [0.847, 0.000, 0.685], [0.723, 0.500, 0.430]], "space_group": "Pm, No. 6", "n_ef_per_ev_fu": 3.3}

***

The energy of each structure relative to the most stable one, in kJ/mol of atoms, is as follows: P 13.8; Q 0.0.

***

P.
{"formula": "Ca2BeTl", "functional": "PBE", "state": "optimized geometry", "lattice": [[4.050, 0.000, 0.000], [0.000, 4.578, 0.000], [-2.023, 0.000, 5.833]], "species": ["Ca", "Ca", "Be", "Tl"], "fractional_positions": [[0.000, 0.000, 0.000], [0.299, 0.500, 0.598], [0.709, 0.000, 0.417], [0.588, 0.500, 0.177]], "space_group": "Pm, No. 6", "n_ef_per_ev_fu": 3.0}

***

Q.
{"formula": "Ca2BeTl", "functional": "PBE", "state": "optimized geometry", "lattice": [[6.011, -1.809, 0.000], [6.011, 1.809, 0.000], [-2.264, 0.000, 4.730]], "species": ["Ca", "Ca", "Be", "Tl"], "fractional_positions": [[0.000, 0.000, 0.000], [0.197, 0.197, 0.697], [0.736, 0.736, 0.234], [0.411, 0.411, 0.412]], "space_group": "Cm, No. 8", "n_ef_per_ev_fu": 2.0}

***

The energy of each structure relative to the most stable one, in kJ/mol of atoms, is as follows: P 0.0; Q 4.3.